6
Lattice="-3.6298 3.3917 -2.3726 -1.1801 -0.5376 -5.3504 -4.9295 -1.8951 -1.5547" Properties=species:S:1:pos:R:3 comment="CeNdPt4 GGA-PBE optimized geometry" crystal_system=cubic m_tot_mub_per_atom=0.14 vol_a3_per_atom=19.7 delta_e_f_ev_per_atom=-1.03 pbc="T T T"
Nd 0.0000 0.0000 0.0000
Ce -2.4348 0.2398 -2.3194
Pt -3.6233 1.5461 -5.0209
Pt -5.4966 0.8679 -3.1245
Pt -6.0862 0.5993 -5.7977
Pt -4.2727 -1.0952 -4.6123

=====

10
Lattice="3.8691 0.0000 0.0000 0.0000 8.0605 0.0000 0.0000 0.0000 8.0605" Properties=species:S:1:pos:R:3 comment="Ce2NdPt2 GGA-PBE optimized geometry" crystal_system=tetragonal m_tot_mub_per_atom=0.27 vol_a3_per_atom=25.1 delta_e_f_ev_per_atom=-0.87 e_above_lowest_polymorph_mev_per_atom=0.0 pbc="T T T"
Ce 0.0000 5.3561 2.7044
Ce 0.0000 6.7347 6.7347
Ce 0.0000 1.3258 1.3258
Ce 0.0000 2.7044 5.3561
Nd 1.9345 4.0303 0.0000
Nd 1.9345 0.0000 4.0303
Pt 1.9345 2.9614 2.9614
Pt 1.9345 6.9916 1.0689
Pt 1.9345 1.0689 6.9916
Pt 1.9345 5.0992 5.0992

=====

19
Lattice="7.1384 0.0174 0.0155 0.9433 7.0759 0.0155 0.9433 0.8279 7.0273" Properties=species:S:1:pos:R:3 comment="Ce2Nd2Pt15 GGA-PBE optimized geometry" crystal_system=trigonal m_tot_mub_per_atom=0.04 vol_a3_per_atom=18.7 delta_e_f_ev_per_atom=-0.71 pbc="T T T"
Ce 0.8998 0.7897 0.7037
Ce 8.1253 7.1314 6.3545
Nd 3.2417 2.8452 2.5352
Nd 5.7834 5.0760 4.5230
Pt 3.5692 0.0087 0.0077
Pt 0.4717 0.4140 3.5136
Pt 0.4717 3.5379 0.0077
Pt 0.9433 5.0895 2.2447
Pt 5.1689 2.2614 0.0155
Pt 2.9129 0.5702 4.7981
Pt 2.9129 4.8318 0.0155
Pt 5.1689 0.2751 2.2447
Pt 0.9433 2.8143 4.7981
Pt 2.4008 5.1835 4.6188
Pt 5.4511 4.7844 1.1663
Pt 5.4511 1.7080 4.6188
Pt 6.6243 2.7377 2.4394
Pt 3.5739 3.1368 5.8919
Pt 3.5739 6.2131 2.4394

=====

12
Lattice="-3.3466 3.4405 -2.6601 -1.7278 -5.0395 1.3158 -3.0870 3.1291 7.9308" Properties=species:S:1:pos:R:3 comment="Ce3NdPt8 GGA-PBE optimized geometry" crystal_system=trigonal m_tot_mub_per_atom=0.20 vol_a3_per_atom=19.7 delta_e_f_ev_per_atom=-0.97 e_above_lowest_polymorph_mev_per_atom=54.7 pbc="T T T"
Ce -4.1477 1.9728 2.1096
Ce -2.9847 0.7940 -0.8783
Ce -2.9033 2.9429 7.4589
Nd -1.7453 1.7691 4.4838
Pt -3.8096 -0.6496 3.9527
Pt -2.2706 -2.2096 -0.0014
Pt -3.9978 4.0649 4.6270
Pt -4.8573 1.5581 5.2815
Pt -6.5220 3.2695 3.9583
Pt -1.8976 -0.3199 1.9736
Pt -2.7662 -2.8532 2.6350
Pt -4.4485 -1.1237 1.2978

=====

24
Lattice="-3.5075 0.8461 -6.2319 -4.6503 -2.0263 5.1112 1.9645 12.5347 3.3721" Properties=species:S:1:pos:R:3 comment="Ce2NdPt3 GGA-PBE optimized geometry" crystal_system=orthorhombic m_tot_mub_per_atom=0.15 vol_a3_per_atom=25.4 delta_e_f_ev_per_atom=-1.06 pbc="T T T"
Ce -2.3289 -0.9916 2.5606
Ce -1.7598 9.9414 2.3402
Ce -3.1655 8.3985 -1.2386
Ce -1.0534 5.9508 1.4008
Ce -5.1399 5.4037 0.8506
Ce -2.4563 4.3922 -2.1816
Ce -4.4335 1.4131 -0.0888
Ce -4.4357 10.9099 5.3622
Nd -5.8411 9.3654 1.7831
Nd -3.7344 6.9482 4.4296
Nd -3.0302 2.9701 3.4932
Nd -0.3521 1.9891 0.4682
Pt -2.0125 9.2902 5.1462
Pt -1.5246 10.6921 -0.4425
Pt 0.5947 8.2037 2.1873
Pt -3.4007 7.6479 1.5441
Pt -4.7821 6.1102 -1.9809
Pt -0.8397 6.6805 -1.4393
Pt -2.7832 3.7302 0.6143
Pt -6.7973 3.1272 0.1570
Pt -4.1066 2.0751 -2.8847
Pt -4.7427 0.6517 2.6837
Pt -2.1077 -0.3049 -0.2896
Pt -6.0501 -0.8753 -0.8312

=====

8
Lattice="-1.9497 1.0225 3.4017 -4.9803 -4.1265 -1.6142 7.0193 -4.2137 2.8765" Properties=species:S:1:pos:R:3 comment="CeNd3Pt4 GGA-PBE optimized geometry" crystal_system=orthorhombic m_tot_mub_per_atom=0.07 vol_a3_per_atom=26.2 delta_e_f_ev_per_atom=-0.94 pbc="T T T"
Ce -0.9749 0.5112 1.7008
Nd -2.4901 -2.0632 -0.8071
Nd 1.4472 -2.3484 1.5353
Nd -1.3579 -4.9693 3.1287
Pt 1.6323 -5.1846 2.4940
Pt -1.5430 -2.1330 2.1700
Pt -3.6137 -3.8498 1.4992
Pt 3.7030 -3.4679 3.1648

=====

12
Lattice="-2.5397 -4.8761 0.0682 1.3087 -3.8335 -3.7178 5.8966 -6.1108 4.3109" Properties=species:S:1:pos:R:3 comment="Ce3NdPt8 GGA-PBE optimized geometry" crystal_system=trigonal m_tot_mub_per_atom=0.20 vol_a3_per_atom=19.6 delta_e_f_ev_per_atom=-1.03 e_above_lowest_polymorph_mev_per_atom=0.0 pbc="T T T"
Ce 4.7210 -8.6248 2.4237
Ce 5.8648 -6.0946 4.2831
Ce 2.3672 -7.4277 0.3608
Nd 1.1148 -9.9027 -1.5937
Pt -0.7025 -7.3925 -0.7561
Pt 4.1681 -9.9286 -0.4923
Pt 0.5657 -4.9575 -0.7901
Pt 2.8991 -12.3650 -0.4582
Pt 2.3493 -4.3067 1.2021
Pt 4.6811 -11.7164 1.5318
Pt 1.2192 -6.8719 -2.6467
Pt 2.2452 -10.4495 1.3995

=====

12
Lattice="5.5127 0.0000 0.0000 2.7564 4.7742 0.0000 2.7564 1.5914 9.0053" Properties=species:S:1:pos:R:3 comment="CeNd3Pt8 GGA-PBE optimized geometry" crystal_system=trigonal m_tot_mub_per_atom=0.07 vol_a3_per_atom=19.8 delta_e_f_ev_per_atom=-1.04 pbc="T T T"
Ce 8.2691 4.7742 3.3888
Nd 5.5127 3.1828 7.8720
Nd 8.2691 4.7742 0.0064
Nd 5.5127 3.1828 4.4916
Pt 6.8912 2.3869 1.6935
Pt 6.8921 5.5692 6.1865
Pt 4.1343 2.3869 1.6935
Pt 9.6461 5.5692 6.1865
Pt 2.7564 1.5914 3.9381
Pt 8.2691 4.7742 8.4436
Pt 5.5127 4.7745 1.6935
Pt 8.2691 3.1841 6.1865

=====

18
Lattice="5.9251 0.0000 0.0000 0.0000 9.3276 0.0000 0.0000 0.0000 9.3276" Properties=species:S:1:pos:R:3 comment="CeNd4Pt4 GGA-PBE optimized geometry" crystal_system=tetragonal m_tot_mub_per_atom=0.09 vol_a3_per_atom=28.6 delta_e_f_ev_per_atom=-0.94 pbc="T T T"
Ce 0.0000 0.0000 0.0000
Ce 2.9625 4.6638 4.6638
Nd 2.9555 2.8817 8.4051
Nd 5.9180 5.5862 7.5455
Nd 2.9555 6.4459 0.9225
Nd 0.0071 1.7821 5.5862
Nd 2.9696 8.4051 6.4459
Nd 0.0071 7.5455 3.7413
Nd 5.9180 3.7413 1.7821
Nd 2.9696 0.9224 2.8817
Pt 2.9692 7.3680 3.7299
Pt 2.9692 1.9596 5.5977
Pt 0.0067 8.3937 6.6234
Pt 5.9184 2.7042 8.3937
Pt 5.9184 6.6234 0.9339
Pt 2.9559 3.7299 1.9596
Pt 2.9559 5.5977 7.3680
Pt 0.0067 0.9339 2.7042

=====

4
Lattice="5.0285 0.0000 0.0000 2.5142 4.3548 0.0000 2.5142 1.4516 4.1057" Properties=species:S:1:pos:R:3 comment="CeNdPtRh GGA-PBE optimized geometry" crystal_system=cubic m_tot_mub_per_atom=0.25 vol_a3_per_atom=22.5 delta_e_f_ev_per_atom=-0.81 e_above_lowest_polymorph_mev_per_atom=120.8 pbc="T T T"
Rh 2.5142 1.4516 1.0264
Nd 5.0285 2.9032 2.0529
Ce 0.0000 0.0000 0.0000
Pt 7.5427 4.3548 3.0793

=====

4
Lattice="3.8770 0.0000 0.0000 0.0000 4.2678 0.0000 -1.9385 0.0000 5.6273" Properties=species:S:1:pos:R:3 comment="CeNdPtRh GGA-PBE optimized geometry" crystal_system=orthorhombic m_tot_mub_per_atom=0.09 vol_a3_per_atom=23.3 delta_e_f_ev_per_atom=-0.93 e_above_lowest_polymorph_mev_per_atom=0.0 pbc="T T T"
Ce 1.9385 2.1339 4.1437
Nd 0.0000 0.0000 1.6089
Pt 1.9385 2.1339 0.9675
Rh 0.0000 0.0000 4.5345

=====

10
Lattice="-2.2648 3.0734 -2.5328 -1.1564 -3.2957 -2.9651 -9.5007 -2.0604 5.9953" Properties=species:S:1:pos:R:3 comment="CeNd2Sb3Pt4 GGA-PBE optimized geometry" crystal_system=tetragonal e_form_raw_mev_per_atom=-889 m_tot_mub_per_atom=0.08 vol_a3_per_atom=24.0 pbc="T T T"
Ce -6.4609 -1.1413 0.2487
Nd -3.1081 1.1083 -0.0197
Nd -8.1032 -3.2798 3.2660
Sb -4.7503 -1.0302 2.9976
Sb -9.4206 -0.2607 3.9638
Sb -1.7906 -1.9108 -0.7175
Pt -1.7106 -0.1111 -2.7490
Pt 0.0000 0.0000 0.0000
Pt -7.2678 0.2062 2.6052
Pt -3.9434 -2.3777 0.6410